--- one ---
Entry from the Alexandria database: a geometry-optimized CaLa3Al structure (GGA-PBE).

Cell lengths 5.9322, 5.9322, 5.9322 Å; angles 90.00, 90.00, 90.00 degrees
Space group Pm-3m (No. 221)
Symmetry-distinct sites (fractional):
Ca: 0.0000 0.0000 0.0000
La: 0.0000 0.5000 0.5000
Al: 0.5000 0.5000 0.5000



--- two ---
Entry from the Alexandria database: a geometry-optimized CaLa3Al structure (GGA-PBE).

Cell lengths 5.7336, 5.7336, 5.7336 Å; angles 90.00, 90.00, 90.00 degrees
Space group Pm-3m (No. 221)
Symmetry-distinct sites (fractional):
Ca: 0.0000 0.0000 0.0000
La: 0.0000 0.0000 0.5000
Al: 0.5000 0.5000 0.5000



Computed stability ranking, most favorable first: one, two